Entry 1:
Entry from the Open Quantum Materials Database: a relaxed structure of GeB4Mo3 (PBE-GGA).

Cell: 3.0913 3.1683 8.5170 Å, 90.00 90.00 90.00°
Fractional coordinates of all 8 atoms:
1 B 0.0000 0.0000 0.2867
2 B 0.5000 0.0000 0.6078
3 B 0.0000 0.0000 0.7133
4 B 0.5000 0.0000 0.3922
5 Mo 0.5000 0.5000 0.8046
6 Mo 0.0000 0.5000 0.5000
7 Mo 0.5000 0.5000 0.1954
8 Ge 0.0000 0.0000 0.0000

Calculated values
E_tot = -8.231 eV/atom


Entry 2:
Entry from the Open Quantum Materials Database: a relaxed structure of GeB4Mo (PBE-GGA).

Cell: 3.0263 3.0263 7.3886 Å, 90.00 90.00 120.00°
Fractional coordinates of all 6 atoms:
1 B 0.3333 0.6667 0.2252
2 B 0.3333 0.6667 0.7748
3 B 0.6667 0.3333 0.7748
4 B 0.6667 0.3333 0.2252
5 Mo 0.0000 0.0000 0.0000
6 Ge 0.0000 0.0000 0.5000

Calculated values
Offset from the most stable computed form = 0.00 eV/f.u.


Entry 3:
Entry from the Open Quantum Materials Database: a relaxed structure of GeB2Mo5 (PBE-GGA).

Cell: 7.0664 7.0664 7.0664 Å, 128.81 128.81 75.32°
Fractional coordinates of all 16 atoms:
1 Mo 0.7027 0.5232 0.5000
2 Mo 0.0000 0.0000 0.0000
3 Mo 0.2973 0.4768 0.5000
4 Mo 0.4768 0.9768 0.1795
5 Mo 0.9768 0.7973 0.5000
6 Mo 0.2027 0.7027 0.1795
7 Mo 0.0232 0.2027 0.5000
8 Mo 0.7973 0.2973 0.8205
9 Mo 0.5232 0.0232 0.8205
10 Mo 0.5000 0.5000 0.0000
11 B 0.3751 0.1249 0.5000
12 B 0.1249 0.6249 0.7498
13 B 0.8751 0.3751 0.2502
14 B 0.6249 0.8751 0.5000
15 Ge 0.2500 0.2500 0.0000
16 Ge 0.7500 0.7500 0.0000

Calculated values
E_tot = -9.324 eV/atom


Entry 4:
Entry from the Open Quantum Materials Database: a relaxed structure of Nb3GeB (PBE-GGA).

Cell: 5.5388 5.5388 8.5523 Å, 90.00 90.00 143.96°
Fractional coordinates of all 10 atoms:
1 Ge 0.7462 0.2538 0.2500
2 Ge 0.2538 0.7462 0.7500
3 Nb 0.6365 0.3635 0.9444
4 Nb 0.0544 0.9456 0.2500
5 Nb 0.6365 0.3635 0.5556
6 Nb 0.9456 0.0544 0.7500
7 Nb 0.3635 0.6365 0.4444
8 Nb 0.3635 0.6365 0.0556
9 B 0.0000 0.0000 0.0000
10 B 0.0000 0.0000 0.5000

Calculated values
E_tot = -8.840 eV/atom


Entry 5:
Entry from the Open Quantum Materials Database: a relaxed structure of Nb2GeB (PBE-GGA).

Cell: 3.2973 3.2973 12.8184 Å, 90.00 90.00 120.00°
Fractional coordinates of all 8 atoms:
1 B 0.0000 0.0000 0.0000
2 B 0.0000 0.0000 0.5000
3 Ge 0.6667 0.3333 0.2500
4 Ge 0.3333 0.6667 0.7500
5 Nb 0.6667 0.3333 0.9028
6 Nb 0.6667 0.3333 0.5973
7 Nb 0.3333 0.6667 0.0973
8 Nb 0.3333 0.6667 0.4028

Calculated values
E_tot = -8.402 eV/atom


Entry 6:
Entry from the Open Quantum Materials Database: a relaxed structure of Nb5Ge3B (PBE-GGA).

Cell: 7.7799 7.7799 5.3634 Å, 90.00 90.00 120.00°
Fractional coordinates of all 18 atoms:
1 Nb 0.6667 0.3333 0.0000
2 Nb 0.0000 0.7561 0.7500
3 Nb 0.3333 0.6667 0.5000
4 Nb 0.6667 0.3333 0.5000
5 Nb 0.0000 0.2439 0.2500
6 Nb 0.7561 0.0000 0.7500
7 Nb 0.2439 0.2439 0.7500
8 Nb 0.2439 0.0000 0.2500
9 Nb 0.3333 0.6667 0.0000
10 Nb 0.7561 0.7561 0.2500
11 Ge 0.5996 0.0000 0.2500
12 Ge 0.0000 0.5996 0.2500
13 Ge 0.0000 0.4004 0.7500
14 Ge 0.4004 0.0000 0.7500
15 Ge 0.5996 0.5996 0.7500
16 Ge 0.4004 0.4004 0.2500
17 B 0.0000 0.0000 0.5000
18 B 0.0000 0.0000 0.0000

Calculated values
E_tot = -8.459 eV/atom


Entry 7:
Entry from the Open Quantum Materials Database: a relaxed structure of NbGeB4 (PBE-GGA).

Cell: 3.0704 3.0704 7.3319 Å, 90.00 90.00 120.00°
Fractional coordinates of all 6 atoms:
1 Nb 0.0000 0.0000 0.0000
2 B 0.6667 0.3333 0.7675
3 B 0.3333 0.6667 0.2325
4 B 0.3333 0.6667 0.7675
5 B 0.6667 0.3333 0.2325
6 Ge 0.0000 0.0000 0.5000

Calculated values
Offset from the most stable computed form = 0.00 eV/f.u.


Entry 8:
Entry from the Open Quantum Materials Database: a relaxed structure of NbGeB4 (PBE-GGA).

Cell: 4.7222 4.7222 4.7222 Å, 142.78 110.08 81.97°
Fractional coordinates of all 6 atoms:
1 Nb 0.5000 0.5000 0.0000
2 B 0.5917 0.2545 0.3372
3 B 0.9173 0.2545 0.6628
4 B 0.0827 0.7455 0.3372
5 B 0.4083 0.7455 0.6628
6 Ge 0.0000 0.0000 0.0000

Calculated values
Offset from the most stable computed form = 0.51 eV/f.u.


Entry 9:
Entry from the Open Quantum Materials Database: a relaxed structure of Nb5GeB2 (PBE-GGA).

Cell: 7.3784 7.3784 7.3784 Å, 129.44 129.44 74.30°
Fractional coordinates of all 16 atoms:
1 Nb 0.0320 0.1960 0.5000
2 Nb 0.6960 0.5320 0.5000
3 Nb 0.4680 0.9680 0.1641
4 Nb 0.3040 0.4680 0.5000
5 Nb 0.0000 0.0000 0.0000
6 Nb 0.5000 0.5000 0.0000
7 Nb 0.1960 0.6960 0.1641
8 Nb 0.8040 0.3040 0.8359
9 Nb 0.5320 0.0320 0.8359
10 Nb 0.9680 0.8040 0.5000
11 B 0.8861 0.3861 0.2722
12 B 0.6139 0.8861 0.5000
13 B 0.3861 0.1139 0.5000
14 B 0.1139 0.6139 0.7278
15 Ge 0.7500 0.7500 0.0000
16 Ge 0.2500 0.2500 0.0000

Calculated values
E_tot = -9.154 eV/atom


Entry 10:
Entry from the Open Quantum Materials Database: a relaxed structure of NbGeB (PBE-GGA).

Cell: 3.9086 3.9086 3.9086 Å, 60.00 60.00 60.00°
Fractional coordinates of all 3 atoms:
1 Ge 0.2500 0.2500 0.2500
2 B 0.0000 0.0000 0.0000
3 Nb 0.7500 0.7500 0.7500

Calculated values
Offset from the most stable computed form = 0.00 eV/f.u.


Entry 11:
Entry from the Open Quantum Materials Database: a relaxed structure of Nb4GeB2P (PBE-GGA).

Cell: 3.3204 3.3204 12.2979 Å, 90.00 90.00 120.00°
Fractional coordinates of all 8 atoms:
1 B 0.3333 0.6667 0.2576
2 B 0.3333 0.6667 0.7424
3 Ge 0.0000 0.0000 0.0000
4 P 0.6667 0.3333 0.5000
5 Nb 0.6667 0.3333 0.8409
6 Nb 0.6667 0.3333 0.1591
7 Nb 0.0000 0.0000 0.3611
8 Nb 0.0000 0.0000 0.6389

Calculated values
E_tot = -8.658 eV/atom


Entry 12:
Entry from the Open Quantum Materials Database: a relaxed structure of Nb4SnGeB2 (PBE-GGA).

Cell: 3.2914 3.2914 13.5125 Å, 90.00 90.00 120.00°
Fractional coordinates of all 8 atoms:
1 Nb 0.0000 0.0000 0.3303
2 Nb 0.0000 0.0000 0.6697
3 Nb 0.6667 0.3333 0.8534
4 Nb 0.6667 0.3333 0.1466
5 B 0.3333 0.6667 0.7613
6 B 0.3333 0.6667 0.2387
7 Sn 0.6667 0.3333 0.5000
8 Ge 0.0000 0.0000 0.0000

Calculated values
E_tot = -8.278 eV/atom


Q: What is the formula in the ninth record?
A: Nb5GeB2